Record 1
Density functional theory data (PBE) for a geometry-optimized Ca2Ac7Pm2 structure.

```
Ca2Ac7Pm2
1.0
-5.3075 -0.6623 4.6646
0.4426 -6.9907 -1.1408
5.3051 -2.2365 7.6926
Ca Ac Pm
2 7 2
Direct
0.4051 0.4051 0.8513
0.5949 0.5949 0.1487
0.4387 0.0697 0.2150
0.8543 0.8543 0.4072
0.0000 0.0000 0.0000
0.1457 0.1457 0.5928
0.9303 0.5613 0.7850
0.0697 0.4387 0.2150
0.5613 0.9303 0.7850
0.6692 0.3308 0.5000
0.3308 0.6692 0.5000
```

Values from the calculation:
Its formation energy is 1.38 eV/f.u. The symmetry is C2/m, No. 12. The size of the total moment comes out at 0.00 μB/cell. Its crystal system is monoclinic. Its total energy is -3.717 eV/atom.


Record 2
Density functional theory data (PBE) for a geometry-optimized Ga3ReP structure.

```
Ga3ReP
1.0
4.8809 0.0000 0.0000
0.0000 4.8809 0.0000
0.0000 0.0000 4.8809
Re Ga P
1 3 1
Direct
0.0000 0.0000 0.0000
0.0000 0.0000 0.5000
0.0000 0.5000 0.0000
0.5000 0.0000 0.0000
0.5000 0.5000 0.5000
```

Values from the calculation:
Its formation energy is 3.88 eV/f.u. The symmetry is Pm-3m, No. 221. The size of the total moment comes out at 2.46 μB/cell. Its crystal system is cubic. Its total energy is -4.612 eV/atom.


Record 3
Density functional theory data (PBE) for a geometry-optimized VRe3Br structure.

```
VRe3Br
1.0
-4.2381 -0.9920 -1.4969
1.6760 -0.8074 -4.2102
0.6448 -4.4216 1.1046
Re Br V
3 1 1
Direct
0.0000 0.0000 0.5000
0.0000 0.5000 0.0000
0.5000 0.0000 0.0000
0.5000 0.5000 0.5000
0.0000 0.0000 0.0000
```

Values from the calculation:
The symmetry is Pm-3m, No. 221. The size of the total moment comes out at 2.66 μB/cell. Its crystal system is cubic. Its total energy is -7.425 eV/atom.


Record 4
Density functional theory data (PBE) for a geometry-optimized MnBeCuIr structure.

```
MnBeCuIr
1.0
4.1055 0.0000 0.0000
2.0528 3.5555 0.0000
2.0528 1.1852 3.3521
Be Mn Ir Cu
1 1 1 1
Direct
0.0000 0.0000 0.0000
0.5000 0.5000 0.5000
0.7500 0.7500 0.7500
0.2500 0.2500 0.2500
```

Values from the calculation:
Its formation energy is -0.44 eV/f.u. The symmetry is F-43m, No. 216. The size of the total moment comes out at 3.71 μB/cell. Its crystal system is cubic. Its total energy is -6.574 eV/atom.


Record 5
Density functional theory data (PBE) for a geometry-optimized Sc2H2Pd structure.

```
Sc2H2Pd
1.0
3.2916 0.0000 0.0000
0.0000 3.2916 0.0000
1.6458 1.6458 5.7917
Sc H Pd
2 2 1
Direct
0.6466 0.6466 0.7068
0.3534 0.3534 0.2932
0.7500 0.2500 0.5000
0.2500 0.7500 0.5000
0.0000 0.0000 0.0000
```

Values from the calculation:
The symmetry is I4/mmm, No. 139. The size of the total moment comes out at 0.00 μB/cell. Its crystal system is tetragonal. Its total energy is -5.667 eV/atom.


Record 6
Density functional theory data (PBE) for a geometry-optimized Ca2PS4 structure.

```
Ca2PS4
1.0
-4.0521 -0.3916 4.8603
-2.7179 -5.1232 -2.6787
6.3744 -4.3096 1.7748
Ca S P
4 8 2
Direct
0.2488 0.2500 0.4424
0.7512 0.7500 0.5576
0.2481 0.2500 0.9321
0.7519 0.7500 0.0679
0.8948 0.2500 0.1131
0.4777 0.9971 0.2436
0.5223 0.4971 0.7564
0.1115 0.7500 0.4177
0.8885 0.2500 0.5823
0.4777 0.5029 0.2436
0.5223 0.0029 0.7564
0.1052 0.7500 0.8869
0.2497 0.7500 0.1883
0.7503 0.2500 0.8117
```

Values from the calculation:
The symmetry is P2_1/m, No. 11. The size of the total moment comes out at 0.00 μB/cell. Its crystal system is monoclinic. Its total energy is -4.835 eV/atom.


Record 7
Density functional theory data (PBE) for a geometry-optimized ZnGa5Ir6 structure.

```
ZnGa5Ir6
1.0
-0.3932 -3.5137 2.4663
6.0055 0.0237 0.9911
-3.6803 5.5212 3.4783
Ir Ga Zn
6 5 1
Direct
0.8315 0.5795 0.6629
0.5000 0.2543 0.0000
0.1685 0.4205 0.3371
0.8315 0.0835 0.6629
0.5000 0.7457 0.0000
0.1685 0.9165 0.3371
0.3370 0.8369 0.6737
0.6672 0.6671 0.3342
0.0000 0.5000 0.0000
0.3328 0.3329 0.6658
0.6630 0.1631 0.3263
0.0000 0.0000 0.0000
```

Values from the calculation:
Its formation energy is -4.73 eV/f.u. The symmetry is C2/m, No. 12. The size of the total moment comes out at 0.00 μB/cell. Its crystal system is monoclinic. Its total energy is -6.192 eV/atom.


Record 8
Density functional theory data (PBE) for a geometry-optimized Er2ThZn4 structure.

```
Er2ThZn4
1.0
4.9669 0.0000 -1.5833
-0.5047 4.9412 -1.5833
-0.4319 -0.4782 7.2276
Er Zn Th
2 4 1
Direct
0.2749 0.2749 0.5499
0.7251 0.7251 0.4501
0.1180 0.6180 0.2360
0.6180 0.1180 0.2360
0.3820 0.8820 0.7640
0.8820 0.3820 0.7640
0.0000 0.0000 0.0000
```

Values from the calculation:
Its formation energy is -0.50 eV/f.u. The symmetry is I4/mmm, No. 139. The size of the total moment comes out at 0.00 μB/cell. Its crystal system is tetragonal. Its total energy is -3.163 eV/atom.


Record 9
Density functional theory data (PBE) for a geometry-optimized Pm6Y12Er structure.

```
Pm6Y12Er
1.0
-3.3002 -4.2294 -6.9535
-0.9901 -6.2958 6.0426
-6.9561 4.9637 2.0257
Y Pm Er
12 6 1
Direct
0.5000 0.7583 0.2417
0.7583 0.2417 0.5000
0.2417 0.7583 0.5000
0.0817 0.3528 0.3528
0.6472 0.6472 0.9183
0.6472 0.9183 0.6472
0.3528 0.0817 0.3528
0.9183 0.6472 0.6472
0.7583 0.5000 0.2417
0.5000 0.2417 0.7583
0.3528 0.3528 0.0817
0.2417 0.5000 0.7583
0.3413 0.9035 0.9035
0.9035 0.3413 0.9035
0.9035 0.9035 0.3413
0.0965 0.0965 0.6587
0.6587 0.0965 0.0965
0.0965 0.6587 0.0965
0.0000 0.0000 0.0000
```

Values from the calculation:
Its formation energy is 3.93 eV/f.u. The symmetry is R-3m, No. 166. The size of the total moment comes out at 0.00 μB/cell. Its crystal system is trigonal. Its total energy is -5.616 eV/atom.


Record 10
Density functional theory data (PBE) for a geometry-optimized Ba4TaP4 structure.

```
Ba4TaP4
1.0
-1.3406 1.0562 6.6544
1.3568 -9.0268 1.7062
9.0061 1.6472 1.5530
P Ba Ta
8 8 2
Direct
0.8035 0.7842 0.0001
0.8035 0.2158 0.9999
0.3035 0.5001 0.7158
0.6965 0.2842 0.5001
0.1965 0.9999 0.7842
0.1965 0.0001 0.2158
0.3035 0.4999 0.2842
0.6965 0.7158 0.4999
0.8277 0.5001 0.7797
0.3277 0.7203 0.0001
0.6723 0.0001 0.2797
0.1723 0.2203 0.5001
0.8277 0.4999 0.2203
0.6723 0.9999 0.7203
0.1723 0.7797 0.4999
0.3277 0.2797 0.9999
0.0000 0.0000 0.0000
0.5000 0.5000 0.5000
```

Values from the calculation:
Its formation energy is -8.41 eV/f.u. The symmetry is P4_2/nmc, No. 137. The size of the total moment comes out at 1.57 μB/cell. Its crystal system is tetragonal. Its total energy is -5.511 eV/atom.


Record 11
Density functional theory data (PBE) for a geometry-optimized Mo2HRuRh structure.

```
Mo2HRuRh
1.0
3.9854 0.0000 0.0000
0.0000 3.9854 0.0000
0.0000 0.0000 3.8769
Ru Mo Rh H
1 2 1 1
Direct
0.5000 0.5000 0.5000
0.0000 0.5000 0.0000
0.5000 0.0000 0.0000
0.0000 0.0000 0.5000
0.0000 0.0000 0.0000
```

Values from the calculation:
The symmetry is P4/mmm, No. 123. The size of the total moment comes out at 0.00 μB/cell. Its crystal system is tetragonal. Its total energy is -8.371 eV/atom.


Record 12
Density functional theory data (PBE) for a geometry-optimized MoAsOs2 structure.

```
MoAsOs2
1.0
4.8389 -0.0040 -0.0127
-2.2774 4.6970 0.0028
0.2842 0.8417 2.6787
Os As Mo
2 1 1
Direct
0.0000 0.0000 0.0000
0.5000 0.0000 0.5000
0.0000 0.5000 0.5000
0.5000 0.5000 0.0000
```

Values from the calculation:
Its formation energy is 1.98 eV/f.u. The symmetry is C2/m, No. 12. The size of the total moment comes out at 0.00 μB/cell. Its crystal system is monoclinic. Its total energy is -8.989 eV/atom.


Please write out number 12 again, unchanged.
Density functional theory data (PBE) for a geometry-optimized MoAsOs2 structure.

```
MoAsOs2
1.0
4.8389 -0.0040 -0.0127
-2.2774 4.6970 0.0028
0.2842 0.8417 2.6787
Os As Mo
2 1 1
Direct
0.0000 0.0000 0.0000
0.5000 0.0000 0.5000
0.0000 0.5000 0.5000
0.5000 0.5000 0.0000
```

Values from the calculation:
Its formation energy is 1.98 eV/f.u. The symmetry is C2/m, No. 12. The size of the total moment comes out at 0.00 μB/cell. Its crystal system is monoclinic. Its total energy is -8.989 eV/atom.